Density functional theory data (PBE-GGA) for a geometry-optimized LiSmGaSn structure.

Geometry as CIF:
```
data_LiSmGaSn
_chemical_formula_sum 'Li4 Sm4 Ga4 Sn4'
_symmetry_space_group_name_H-M 'F -4 3 m'
_symmetry_Int_Tables_number 216
_symmetry_space_group_name_Hall 'F -4 2 3'
_cell_length_a 7.1952
_cell_length_b 7.1952
_cell_length_c 7.1952
_cell_angle_alpha 90.00
_cell_angle_beta 90.00
_cell_angle_gamma 90.00
loop_
_atom_site_label
_atom_site_type_symbol
_atom_site_fract_x
_atom_site_fract_y
_atom_site_fract_z
Li1 Li 0.0000 0.0000 0.0000
Sm1 Sm 0.0000 0.0000 0.5000
Ga1 Ga 0.2500 0.2500 0.7500
Sn1 Sn 0.2500 0.2500 0.2500
```

Properties
DFT formation energy ... -0.432 eV/atom
Total moment ... 0.0 μB per formula unit
DOS at the Fermi energy ... 0.41 states/eV per atom

---

Density functional theory data (PBE-GGA) for a geometry-optimized Pm2Al3Ga structure.

Geometry as CIF:
```
data_Pm2Al3Ga
_chemical_formula_sum 'Pm2 Al3 Ga1'
_symmetry_space_group_name_H-M 'P m m 2'
_symmetry_Int_Tables_number 25
_cell_length_a 3.8942
_cell_length_b 4.4710
_cell_length_c 7.7676
_cell_angle_alpha 90.00
_cell_angle_beta 90.00
_cell_angle_gamma 90.00
loop_
_symmetry_equiv_pos_as_xyz
'x,y,z'
'-x,-y,z'
'-x,y,z'
'x,-y,z'
loop_
_atom_site_label
_atom_site_type_symbol
_atom_site_fract_x
_atom_site_fract_y
_atom_site_fract_z
Pm1 Pm 0.0000 0.0000 0.0000
Pm2 Pm 0.0000 0.5000 0.4958
Al1 Al 0.5000 0.0000 0.6627
Al2 Al 0.5000 0.5000 0.1661
Al3 Al 0.5000 0.5000 0.8309
Ga1 Ga 0.5000 0.0000 0.3317
```

Properties
Energy above the most stable polymorph in this dataset ... 2.3 meV/atom
DFT formation energy ... -0.534 eV/atom
Total moment ... 0.0 μB per formula unit
DOS at the Fermi energy ... 0.54 states/eV per atom

---

Density functional theory data (PBE-GGA) for a geometry-optimized MnCr4CoS8 structure.

Geometry as CIF:
```
data_MnCr4CoS8
_chemical_formula_sum 'Mn4 Cr16 Co4 S32'
_symmetry_space_group_name_H-M 'F -4 3 m'
_symmetry_Int_Tables_number 216
_symmetry_space_group_name_Hall 'F -4 2 3'
_cell_length_a 9.9861
_cell_length_b 9.9861
_cell_length_c 9.9861
_cell_angle_alpha 90.00
_cell_angle_beta 90.00
_cell_angle_gamma 90.00
loop_
_atom_site_label
_atom_site_type_symbol
_atom_site_fract_x
_atom_site_fract_y
_atom_site_fract_z
Mn1 Mn 0.0000 0.0000 0.0000
Cr1 Cr 0.1238 0.1238 0.6238
Co1 Co 0.2500 0.2500 0.2500
S1 S 0.1181 0.1181 0.3819
S2 S 0.1355 0.1355 0.8645
```

Properties
Formation energy from raw total energies ... -609 meV per atom
Total moment ... 19.0 μB per formula unit
DOS at the Fermi energy ... 0.59 states/eV per atom

---

Density functional theory data (PBE-GGA) for a geometry-optimized NaHf2As2 structure.

Geometry as CIF:
```
data_NaHf2As2
_chemical_formula_sum 'Na2 Hf4 As4'
_symmetry_space_group_name_H-M 'I 4/m m m'
_symmetry_Int_Tables_number 139
_symmetry_space_group_name_Hall '-I 4 2'
_cell_length_a 4.4580
_cell_length_b 4.4580
_cell_length_c 12.7056
_cell_angle_alpha 90.00
_cell_angle_beta 90.00
_cell_angle_gamma 90.00
loop_
_atom_site_label
_atom_site_type_symbol
_atom_site_fract_x
_atom_site_fract_y
_atom_site_fract_z
Na1 Na 0.0000 0.0000 0.0000
Hf1 Hf 0.0000 0.5000 0.2500
As1 As 0.0000 0.0000 0.3664
```

Properties
Energy above the most stable polymorph in this dataset ... 67.9 meV/atom
DFT formation energy ... -0.525 eV/atom
Total moment ... 0.0 μB per formula unit
DOS at the Fermi energy ... 0.42 states/eV per atom

---

Density functional theory data (PBE-GGA) for a geometry-optimized CsTl2Cd2 structure.

Geometry as CIF:
```
data_CsTl2Cd2
_chemical_formula_sum 'Cs2 Tl4 Cd4'
_symmetry_space_group_name_H-M 'I 4/m m m'
_symmetry_Int_Tables_number 139
_symmetry_space_group_name_Hall '-I 4 2'
_cell_length_a 5.2178
_cell_length_b 5.2178
_cell_length_c 13.0710
_cell_angle_alpha 90.00
_cell_angle_beta 90.00
_cell_angle_gamma 90.00
loop_
_atom_site_label
_atom_site_type_symbol
_atom_site_fract_x
_atom_site_fract_y
_atom_site_fract_z
Cs1 Cs 0.0000 0.0000 0.0000
Tl1 Tl 0.0000 0.5000 0.2500
Cd1 Cd 0.0000 0.0000 0.3845
```

Properties
Energy above the most stable polymorph in this dataset ... 17.2 meV/atom
DFT formation energy ... -0.043 eV/atom
Total moment ... 0.0 μB per formula unit
DOS at the Fermi energy ... 0.67 states/eV per atom

---

Density functional theory data (PBE-GGA) for a geometry-optimized Li3Np5Te12 structure.

Geometry as CIF:
```
data_Li3Np5Te12
_chemical_formula_sum 'Li24 Np40 Te96'
_symmetry_space_group_name_H-M 'I a -3 d'
_symmetry_Int_Tables_number 230
_symmetry_space_group_name_Hall '-I 4bd 2c 3'
_cell_length_a 18.1055
_cell_length_b 18.1055
_cell_length_c 18.1055
_cell_angle_alpha 90.00
_cell_angle_beta 90.00
_cell_angle_gamma 90.00
loop_
_atom_site_label
_atom_site_type_symbol
_atom_site_fract_x
_atom_site_fract_y
_atom_site_fract_z
Li1 Li 0.0000 0.2500 0.1250
Np1 Np 0.0000 0.0000 0.0000
Np2 Np 0.0000 0.2500 0.3750
Te1 Te 0.0307 0.0810 0.6446
```

Properties
Formation energy from raw total energies ... -293 meV per atom
Total moment ... 15.3 μB per formula unit
DOS at the Fermi energy ... 2.99 states/eV per atom